Below is a relaxed structure of Sr2InMoO6, with properties calculated at the PBE+U level.

a = 5.7597 Å, b = 5.8404 Å, c = 9.9969 Å
α = 90.00°, β = 124.73°, γ = 90.00°
Space group P2_1/c (No. 14)
Inequivalent atoms, fractional coordinates:
Sr1 0.2434 0.0358 0.2491
In1 0.5000 0.0000 0.0000
Mo1 0.0000 0.0000 0.5000
O1 0.1597 0.2202 0.9556
O2 0.2325 0.6979 0.9645
O3 0.3175 0.0251 0.7415

Properties
- DFT total energy: -130.4 eV for the cell shown
- Crystal system: monoclinic
- Theoretical density: 5.79 Mg/m³